A plane-wave DFT calculation with PBE with a Hubbard U was carried out for a geometry-optimized CrAsSeF2 structure.

a = 3.8898 Å, b = 6.0739 Å, c = 3.8898 Å
α = 90.00°, β = 90.00°, γ = 90.00°
Last column: nearest neighbours and their distance in Å.
Atoms (fractional coordinates):
1 Cr 0.0000 0.0000 0.0000  4 F 1.94
2 As 0.5000 0.5000 0.5000  4 Se 2.75
3 Se 0.0000 0.5000 0.0000  4 As 2.75, 2 Cr 3.04
4 F 0.0000 0.0000 0.5000  2 Cr 1.94
5 F 0.5000 0.0000 0.0000  2 Cr 1.94

N(E_F): 0.393 states/eV per atom
E_tot: -5.2058 eV per atom